(1)
First-principles (PBE) data for crystalline LiSm2PaTe4 at its relaxed geometry, as listed in Alexandria.

Cell and atoms, written as POSCAR:
```
LiSm2PaTe4
1.0
4.327 0.000 0.000
0.000 7.693 0.206
0.000 -2.623 7.065
Li Sm Pa Te
1 2 1 4
direct
0.000 0.000 0.000 Li
0.500 0.000 0.500 Sm
0.000 0.500 0.500 Sm
0.500 0.500 0.000 Pa
0.500 0.239 0.236 Te
0.500 0.761 0.764 Te
0.000 0.244 0.760 Te
0.000 0.756 0.240 Te
```

Computed properties:
Formation energy from raw total energies, eV per atom: -1.139
Symmetry: P2/m

(2)
First-principles (PBE) data for crystalline Li3Sm2PaTe6 at its relaxed geometry, as listed in Alexandria.

Cell and atoms, written as POSCAR:
```
Li3Sm2PaTe6
1.0
7.542 -0.001 0.000
-3.770 6.532 0.000
-1.258 -2.179 7.135
Li Sm Pa Te
3 2 1 6
direct
0.168 0.832 0.500 Li
0.832 0.168 0.500 Li
0.500 0.500 0.500 Li
0.333 0.667 0.000 Sm
0.667 0.333 0.000 Sm
0.000 0.000 0.000 Pa
0.913 0.584 0.738 Te
0.759 0.759 0.262 Te
0.087 0.416 0.262 Te
0.584 0.913 0.738 Te
0.241 0.241 0.738 Te
0.416 0.087 0.262 Te
```

Computed properties:
Formation energy from raw total energies, eV per atom: -1.133
Symmetry: C2/m

(3)
First-principles (PBE) data for crystalline Li3SmPa2Te6 at its relaxed geometry, as listed in Alexandria.

Cell and atoms, written as POSCAR:
```
Li3SmPa2Te6
1.0
-4.354 5.523 2.385
-2.878 -5.495 -4.084
0.979 -3.746 6.605
Li Sm Pa Te
3 1 2 6
direct
0.164 0.836 0.500 Li
0.836 0.164 0.500 Li
0.500 0.500 0.500 Li
0.000 0.000 0.000 Sm
0.334 0.666 0.000 Pa
0.666 0.334 0.000 Pa
0.912 0.575 0.737 Te
0.751 0.751 0.264 Te
0.088 0.425 0.263 Te
0.575 0.912 0.737 Te
0.249 0.249 0.736 Te
0.425 0.088 0.263 Te
```

Computed properties:
Formation energy from raw total energies, eV per atom: -0.983
Symmetry: C2/m

(4)
First-principles (PBE) data for crystalline LiPaSn2 at its relaxed geometry, as listed in Alexandria.

Cell and atoms, written as POSCAR:
```
LiPaSn2
1.0
-2.502 1.345 1.307
2.011 -1.197 5.080
2.685 4.906 0.093
Pa Sn Li
1 2 1
direct
0.500 0.500 0.500 Pa
0.000 0.000 0.500 Sn
0.000 0.500 0.000 Sn
0.500 0.000 0.000 Li
```

Computed properties:
E_form, meV/atom: -291
Symmetry: P4/mmm

(5)
First-principles (PBE) data for crystalline LiPaSn2 at its relaxed geometry, as listed in Alexandria.

Cell and atoms, written as POSCAR:
```
LiPaSn2
1.0
-4.525 1.206 2.183
-1.354 -2.154 4.498
-0.112 2.858 4.303
Pa Sn Li
1 2 1
direct
0.500 0.500 0.500 Pa
0.250 0.250 0.250 Sn
0.750 0.750 0.750 Sn
0.000 0.000 0.000 Li
```

Computed properties:
E_form, meV/atom: -142
Symmetry: Fm-3m

(6)
First-principles (PBE) data for crystalline LiPa2Sn9 at its relaxed geometry, as listed in Alexandria.

Cell and atoms, written as POSCAR:
```
LiPa2Sn9
1.0
-3.253 -3.104 1.105
2.672 -3.394 -1.667
5.854 -1.620 12.679
Li Pa Sn
1 2 9
direct
0.000 0.000 0.000 Li
0.000 0.000 0.338 Pa
0.000 0.000 0.662 Pa
0.500 0.500 0.000 Sn
0.500 0.500 0.332 Sn
0.500 0.500 0.668 Sn
0.500 0.000 0.164 Sn
0.500 0.000 0.500 Sn
0.500 0.000 0.836 Sn
0.000 0.500 0.164 Sn
0.000 0.500 0.500 Sn
0.000 0.500 0.836 Sn
```

Computed properties:
E_form, meV/atom: -224
Symmetry: P4/mmm

(7)
First-principles (PBE) data for crystalline Li2PaSn at its relaxed geometry, as listed in Alexandria.

Cell and atoms, written as POSCAR:
```
Li2PaSn
1.0
3.087 0.000 0.000
1.544 2.673 0.000
1.544 0.891 11.230
Pa Sn Li
1 1 2
direct
0.000 0.000 0.000 Pa
0.500 0.500 0.500 Sn
0.094 0.094 0.718 Li
0.906 0.906 0.282 Li
```

Computed properties:
E_form, meV/atom: 124
Symmetry: R-3m

(8)
First-principles (PBE) data for crystalline LiPa2Sn at its relaxed geometry, as listed in Alexandria.

Cell and atoms, written as POSCAR:
```
LiPa2Sn
1.0
-1.878 1.567 1.977
-2.880 0.865 -0.920
-5.992 -9.565 4.389
Pa Sn Li
2 1 1
direct
0.089 0.089 0.733 Pa
0.911 0.911 0.267 Pa
0.500 0.500 0.500 Sn
0.000 0.000 0.000 Li
```

Computed properties:
E_form, meV/atom: 184
Symmetry: R-3m